1.
The following is a GGA-PBE calculation of a relaxed structure of NaHf3Ga, from Alexandria via LeMat-Bulk.

Lattice parameters (Å, degrees): 5.0907 5.0907 5.0907 90.00 90.00 90.00
With the nearest neighbours (Å) after each atom.
Space group Pm-3m (No. 221)
Inequivalent atoms, fractional coordinates:
Na 0.0000 0.0000 0.0000 x1  12 Hf 3.60
Hf 0.0000 0.5000 0.5000 x3  2 Ga 2.55
Ga 0.5000 0.5000 0.5000 x1  6 Hf 2.55

Properties
ρ: 7.91 g cm⁻³
calculated formation energy: 0.795 eV/atom
E_tot: -30.23 eV/cell
ΔE to the lowest computed polymorph: 0 kJ/mol of formula units

***

2.
The following is a GGA-PBE calculation of a relaxed structure of Sc5Ir4Rh, from Alexandria via LeMat-Bulk.

Lattice parameters (Å, degrees): 3.1566 3.1566 16.9007 90.00 90.00 90.00
With the nearest neighbours (Å) after each atom.
Space group P4/mmm (No. 123)
Inequivalent atoms, fractional coordinates:
Sc 0.0000 0.0000 0.0000 x1  8 Ir 2.80
Sc 0.0000 0.0000 0.2003 x2  8 Ir 2.80-2.81
Sc 0.0000 0.0000 0.4002 x2  4 Ir 2.79, 4 Rh 2.80
Ir 0.5000 0.5000 0.1003 x2  8 Sc 2.80
Ir 0.5000 0.5000 0.3009 x2  8 Sc 2.79-2.81
Rh 0.5000 0.5000 0.5000 x1  8 Sc 2.80

Properties
ρ: 10.81 g cm⁻³
calculated formation energy: -1.018 eV/atom
E_tot: -84.63 eV/cell

***

Please write out number 2 again, unchanged.
The following is a GGA-PBE calculation of a relaxed structure of Sc5Ir4Rh, from Alexandria via LeMat-Bulk.

Lattice parameters (Å, degrees): 3.1566 3.1566 16.9007 90.00 90.00 90.00
With the nearest neighbours (Å) after each atom.
Space group P4/mmm (No. 123)
Inequivalent atoms, fractional coordinates:
Sc 0.0000 0.0000 0.0000 x1  8 Ir 2.80
Sc 0.0000 0.0000 0.2003 x2  8 Ir 2.80-2.81
Sc 0.0000 0.0000 0.4002 x2  4 Ir 2.79, 4 Rh 2.80
Ir 0.5000 0.5000 0.1003 x2  8 Sc 2.80
Ir 0.5000 0.5000 0.3009 x2  8 Sc 2.79-2.81
Rh 0.5000 0.5000 0.5000 x1  8 Sc 2.80

Properties
ρ: 10.81 g cm⁻³
calculated formation energy: -1.018 eV/atom
E_tot: -84.63 eV/cell

***

Question: What is the calculated formation energy in the first record?
Answer: 0.795 eV/atom